Below is crystalline KH2F3 at its relaxed geometry, with properties calculated at the PBE-GGA level.

Geometry as CIF:
```
data_KH2F3
_symmetry_space_group_name_H-M 'C 1 2/c 1'
_symmetry_Int_Tables_number 15
_cell_length_a 8.3943
_cell_length_b 6.4222
_cell_length_c 7.7914
_cell_angle_alpha 90.00
_cell_angle_beta 122.10
_cell_angle_gamma 90.00
loop_
_symmetry_equiv_pos_as_xyz
'x,y,z'
'-x,-y,-z'
'-x,y,-z+1/2'
'x,-y,z+1/2'
'x+1/2,y+1/2,z'
'-x+1/2,-y+1/2,-z'
'-x+1/2,y+1/2,-z+1/2'
'x+1/2,-y+1/2,z+1/2'
loop_
_atom_site_label
_atom_site_type_symbol
_atom_site_fract_x
_atom_site_fract_y
_atom_site_fract_z
K1 K 0.0000 0.1009 0.2500
H1 H 0.1400 0.4351 0.8070
F1 F 0.0000 0.3133 0.7500
F2 F 0.2471 0.4542 0.3502
```

The total energy comes out at -4.34 eV per atom.

Below is crystalline HgMo3 at its relaxed geometry, with properties calculated at the PBE-GGA level.

Geometry as CIF:
```
data_HgMo3
_symmetry_space_group_name_H-M 'C m m m'
_symmetry_Int_Tables_number 65
_symmetry_space_group_name_Hall '-C 2 2'
_cell_length_a 3.2445
_cell_length_b 4.5321
_cell_length_c 9.3022
_cell_angle_alpha 90.00
_cell_angle_beta 90.00
_cell_angle_gamma 90.00
loop_
_atom_site_label
_atom_site_type_symbol
_atom_site_fract_x
_atom_site_fract_y
_atom_site_fract_z
Hg1 Hg 0.0000 0.0000 0.0000
Mo1 Mo 0.0000 0.0000 0.5000
Mo2 Mo 0.0000 0.5000 0.2686
```

The formation energy from the elements is 320 meV/atom.

Below is crystalline Cr2CdTc at its relaxed geometry, with properties calculated at the PBE-GGA level.

Geometry as CIF:
```
data_Cr2CdTc
_symmetry_space_group_name_H-M 'R -3 m'
_symmetry_Int_Tables_number 166
_symmetry_space_group_name_Hall '-R 3 2"'
_cell_length_a 2.8342
_cell_length_b 2.8342
_cell_length_c 26.5322
_cell_angle_alpha 90.00
_cell_angle_beta 90.00
_cell_angle_gamma 120.00
loop_
_atom_site_label
_atom_site_type_symbol
_atom_site_fract_x
_atom_site_fract_y
_atom_site_fract_z
Cr1 Cr 0.0000 0.0000 0.2411
Cd1 Cd 0.0000 0.0000 0.0000
Tc1 Tc 0.0000 0.0000 0.5000
```

The formation energy from the elements is 455 meV/atom.

Below is crystalline Ba2PtCl at its relaxed geometry, with properties calculated at the PBE-GGA level.

Geometry as CIF:
```
data_Ba2PtCl
_symmetry_space_group_name_H-M 'F m -3 m'
_symmetry_Int_Tables_number 225
_symmetry_space_group_name_Hall '-F 4 2 3'
_cell_length_a 7.8719
_cell_length_b 7.8719
_cell_length_c 7.8719
_cell_angle_alpha 90.00
_cell_angle_beta 90.00
_cell_angle_gamma 90.00
loop_
_atom_site_label
_atom_site_type_symbol
_atom_site_fract_x
_atom_site_fract_y
_atom_site_fract_z
Ba1 Ba 0.2500 0.2500 0.2500
Pt1 Pt 0.0000 0.0000 0.0000
Cl1 Cl 0.0000 0.0000 0.5000
```

For the uncorrected formation energy, the calculation gives -1.178 eV per atom.

Below is crystalline Tb2NpTl2Se6 at its relaxed geometry, with properties calculated at the PBE-GGA level.

Geometry as CIF:
```
data_Tb2NpTl2Se6
_symmetry_space_group_name_H-M 'C 1 2/m 1'
_symmetry_Int_Tables_number 12
_cell_length_a 7.2141
_cell_length_b 12.4987
_cell_length_c 8.1901
_cell_angle_alpha 90.00
_cell_angle_beta 107.46
_cell_angle_gamma 90.00
loop_
_symmetry_equiv_pos_as_xyz
'x,y,z'
'-x,-y,-z'
'-x,y,-z'
'x,-y,z'
'x+1/2,y+1/2,z'
'-x+1/2,-y+1/2,-z'
'-x+1/2,y+1/2,-z'
'x+1/2,-y+1/2,z'
loop_
_atom_site_label
_atom_site_type_symbol
_atom_site_fract_x
_atom_site_fract_y
_atom_site_fract_z
Tb1 Tb 0.0000 0.1671 0.0000
Np1 Np 0.0000 0.5000 0.0000
Tl1 Tl 0.0000 0.3315 0.5000
Se1 Se 0.2320 0.3359 0.2023
Se2 Se 0.2427 0.0000 0.2027
```

For the uncorrected formation energy, the calculation gives -1.299 eV per atom.

Below is crystalline Sc2GePd2 at its relaxed geometry, with properties calculated at the PBE-GGA level.

Geometry as CIF:
```
data_Sc2GePd2
_symmetry_space_group_name_H-M 'I 4/m m m'
_symmetry_Int_Tables_number 139
_symmetry_space_group_name_Hall '-I 4 2'
_cell_length_a 5.1514
_cell_length_b 5.1514
_cell_length_c 7.6047
_cell_angle_alpha 90.00
_cell_angle_beta 90.00
_cell_angle_gamma 90.00
loop_
_atom_site_label
_atom_site_type_symbol
_atom_site_fract_x
_atom_site_fract_y
_atom_site_fract_z
Sc1 Sc 0.0000 0.5000 0.2500
Ge1 Ge 0.0000 0.0000 0.0000
Pd1 Pd 0.0000 0.0000 0.3377
```

The formation energy from the elements is -509 meV/atom.

Below is crystalline LaSiPb3 at its relaxed geometry, with properties calculated at the PBE-GGA level.

Geometry as CIF:
```
data_LaSiPb3
_symmetry_space_group_name_H-M 'P m -3 m'
_symmetry_Int_Tables_number 221
_symmetry_space_group_name_Hall '-P 4 2 3'
_cell_length_a 6.0663
_cell_length_b 6.0663
_cell_length_c 6.0663
_cell_angle_alpha 90.00
_cell_angle_beta 90.00
_cell_angle_gamma 90.00
loop_
_atom_site_label
_atom_site_type_symbol
_atom_site_fract_x
_atom_site_fract_y
_atom_site_fract_z
La1 La 0.0000 0.0000 0.0000
Si1 Si 0.5000 0.5000 0.5000
Pb1 Pb 0.0000 0.0000 0.5000
```

For the uncorrected formation energy, the calculation gives 1.074 eV per atom.

Below is crystalline Nd2LuRu at its relaxed geometry, with properties calculated at the PBE-GGA level.

Geometry as CIF:
```
data_Nd2LuRu
_symmetry_space_group_name_H-M 'R -3 m'
_symmetry_Int_Tables_number 166
_symmetry_space_group_name_Hall '-R 3 2"'
_cell_length_a 3.5734
_cell_length_b 3.5734
_cell_length_c 32.0548
_cell_angle_alpha 90.00
_cell_angle_beta 90.00
_cell_angle_gamma 120.00
loop_
_atom_site_label
_atom_site_type_symbol
_atom_site_fract_x
_atom_site_fract_y
_atom_site_fract_z
Nd1 Nd 0.0000 0.0000 0.1056
Lu1 Lu 0.0000 0.0000 0.0000
Ru1 Ru 0.0000 0.0000 0.5000
```

The formation energy from the elements is 220 meV/atom.

Below is crystalline Pr6Ho2Tm3 at its relaxed geometry, with properties calculated at the PBE-GGA level.

Geometry as CIF:
```
data_Pr6Ho2Tm3
_symmetry_space_group_name_H-M 'P -1'
_symmetry_Int_Tables_number 2
_cell_length_a 6.6759
_cell_length_b 6.6966
_cell_length_c 9.5363
_cell_angle_alpha 92.80
_cell_angle_beta 93.52
_cell_angle_gamma 117.96
loop_
_symmetry_equiv_pos_as_xyz
'x,y,z'
'-x,-y,-z'
loop_
_atom_site_label
_atom_site_type_symbol
_atom_site_fract_x
_atom_site_fract_y
_atom_site_fract_z
Pr1 Pr 0.0474 0.4938 0.1710
Pr2 Pr 0.2958 0.7067 0.5008
Pr3 Pr 0.3762 0.3733 0.7842
Ho1 Ho 0.4968 0.0515 0.1689
Tm1 Tm 0.0000 0.0000 0.0000
Tm2 Tm 0.1330 0.1319 0.3659
```

The formation energy from the elements is 130 meV/atom.

Below is crystalline Sc5Co4 at its relaxed geometry, with properties calculated at the PBE-GGA level.

Geometry as CIF:
```
data_Sc5Co4
_symmetry_space_group_name_H-M 'I 4/m m m'
_symmetry_Int_Tables_number 139
_symmetry_space_group_name_Hall '-I 4 2'
_cell_length_a 7.9416
_cell_length_b 7.9416
_cell_length_c 4.6763
_cell_angle_alpha 90.00
_cell_angle_beta 90.00
_cell_angle_gamma 90.00
loop_
_atom_site_label
_atom_site_type_symbol
_atom_site_fract_x
_atom_site_fract_y
_atom_site_fract_z
Sc1 Sc 0.0000 0.0000 0.0000
Sc2 Sc 0.1868 0.1868 0.5000
Co1 Co 0.0000 0.3547 0.0000
```

The formation energy from the elements is -4 meV/atom.

Below is crystalline Ce3CdPd12 at its relaxed geometry, with properties calculated at the PBE-GGA level.

Geometry as CIF:
```
data_Ce3CdPd12
_symmetry_space_group_name_H-M 'P 4/m m m'
_symmetry_Int_Tables_number 123
_symmetry_space_group_name_Hall '-P 4 2'
_cell_length_a 4.1401
_cell_length_b 4.1401
_cell_length_c 16.3778
_cell_angle_alpha 90.00
_cell_angle_beta 90.00
_cell_angle_gamma 90.00
loop_
_atom_site_label
_atom_site_type_symbol
_atom_site_fract_x
_atom_site_fract_y
_atom_site_fract_z
Ce1 Ce 0.0000 0.0000 0.0000
Ce2 Ce 0.0000 0.0000 0.2579
Cd1 Cd 0.0000 0.0000 0.5000
Pd1 Pd 0.0000 0.5000 0.1268
Pd2 Pd 0.0000 0.5000 0.3767
Pd3 Pd 0.5000 0.5000 0.0000
Pd4 Pd 0.5000 0.5000 0.2518
Pd5 Pd 0.5000 0.5000 0.5000
```

The formation energy from the elements is -703 meV/atom.

Below is crystalline NaAc2Ho at its relaxed geometry, with properties calculated at the PBE-GGA level.

Geometry as CIF:
```
data_NaAc2Ho
_symmetry_space_group_name_H-M 'P 4/m m m'
_symmetry_Int_Tables_number 123
_symmetry_space_group_name_Hall '-P 4 2'
_cell_length_a 6.2193
_cell_length_b 6.2193
_cell_length_c 4.0147
_cell_angle_alpha 90.00
_cell_angle_beta 90.00
_cell_angle_gamma 90.00
loop_
_atom_site_label
_atom_site_type_symbol
_atom_site_fract_x
_atom_site_fract_y
_atom_site_fract_z
Na1 Na 0.0000 0.0000 0.0000
Ac1 Ac 0.0000 0.5000 0.5000
Ho1 Ho 0.5000 0.5000 0.0000
```

The formation energy from the elements is 151 meV/atom.

Below is crystalline PuHF5 at its relaxed geometry, with properties calculated at the PBE-GGA level.

Geometry as CIF:
```
data_PuHF5
_symmetry_space_group_name_H-M 'C 1 2/c 1'
_symmetry_Int_Tables_number 15
_cell_length_a 7.9023
_cell_length_b 7.8775
_cell_length_c 8.1542
_cell_angle_alpha 90.00
_cell_angle_beta 112.20
_cell_angle_gamma 90.00
loop_
_symmetry_equiv_pos_as_xyz
'x,y,z'
'-x,-y,-z'
'-x,y,-z+1/2'
'x,-y,z+1/2'
'x+1/2,y+1/2,z'
'-x+1/2,-y+1/2,-z'
'-x+1/2,y+1/2,-z+1/2'
'x+1/2,-y+1/2,z+1/2'
loop_
_atom_site_label
_atom_site_type_symbol
_atom_site_fract_x
_atom_site_fract_y
_atom_site_fract_z
Pu1 Pu 0.2500 0.2500 0.0000
H1 H 0.0000 0.2004 0.2500
F1 F 0.0000 0.2190 0.7500
F2 F 0.0782 0.1957 0.1575
F3 F 0.1987 0.4968 0.4991
```

The total energy comes out at -6.74 eV per atom.

Below is crystalline Nb5Tc at its relaxed geometry, with properties calculated at the PBE-GGA level.

Geometry as CIF:
```
data_Nb5Tc
_symmetry_space_group_name_H-M 'P 4/m m m'
_symmetry_Int_Tables_number 123
_symmetry_space_group_name_Hall '-P 4 2'
_cell_length_a 3.2525
_cell_length_b 3.2525
_cell_length_c 9.9370
_cell_angle_alpha 90.00
_cell_angle_beta 90.00
_cell_angle_gamma 90.00
loop_
_atom_site_label
_atom_site_type_symbol
_atom_site_fract_x
_atom_site_fract_y
_atom_site_fract_z
Nb1 Nb 0.0000 0.0000 0.0000
Nb2 Nb 0.0000 0.0000 0.3416
Nb3 Nb 0.5000 0.5000 0.1688
Tc1 Tc 0.5000 0.5000 0.5000
```

The formation energy from the elements is -151 meV/atom.

Below is crystalline Dy6Bi5Se at its relaxed geometry, with properties calculated at the PBE-GGA level.

Geometry as CIF:
```
data_Dy6Bi5Se
_symmetry_space_group_name_H-M 'C 1 2/m 1'
_symmetry_Int_Tables_number 12
_cell_length_a 7.6546
_cell_length_b 13.2287
_cell_length_c 7.6467
_cell_angle_alpha 90.00
_cell_angle_beta 109.48
_cell_angle_gamma 90.00
loop_
_symmetry_equiv_pos_as_xyz
'x,y,z'
'-x,-y,-z'
'-x,y,-z'
'x,-y,z'
'x+1/2,y+1/2,z'
'-x+1/2,-y+1/2,-z'
'-x+1/2,y+1/2,-z'
'x+1/2,-y+1/2,z'
loop_
_atom_site_label
_atom_site_type_symbol
_atom_site_fract_x
_atom_site_fract_y
_atom_site_fract_z
Dy1 Dy 0.2402 0.0000 0.2499
Dy2 Dy 0.2423 0.1618 0.7429
Bi1 Bi 0.0000 0.1713 0.0000
Bi2 Bi 0.0000 0.3345 0.5000
Bi3 Bi 0.0000 0.5000 0.0000
Se1 Se 0.0000 0.0000 0.5000
```

For the uncorrected formation energy, the calculation gives -1.000 eV per atom.

Below is crystalline Cr2OsPb at its relaxed geometry, with properties calculated at the PBE-GGA level.

Geometry as CIF:
```
data_Cr2OsPb
_symmetry_space_group_name_H-M 'I -4 m 2'
_symmetry_Int_Tables_number 119
_symmetry_space_group_name_Hall 'I -4 -2'
_cell_length_a 4.1462
_cell_length_b 4.1462
_cell_length_c 7.5540
_cell_angle_alpha 90.00
_cell_angle_beta 90.00
_cell_angle_gamma 90.00
loop_
_atom_site_label
_atom_site_type_symbol
_atom_site_fract_x
_atom_site_fract_y
_atom_site_fract_z
Cr1 Cr 0.0000 0.0000 0.0000
Cr2 Cr 0.0000 0.5000 0.2500
Os1 Os 0.0000 0.5000 0.7500
Pb1 Pb 0.0000 0.0000 0.5000
```

The formation energy from the elements is 709 meV/atom.

Below is crystalline KTiVH2 at its relaxed geometry, with properties calculated at the PBE-GGA level.

Geometry as CIF:
```
data_KTiVH2
_symmetry_space_group_name_H-M 'P 4/m m m'
_symmetry_Int_Tables_number 123
_symmetry_space_group_name_Hall '-P 4 2'
_cell_length_a 4.0554
_cell_length_b 4.0554
_cell_length_c 5.8587
_cell_angle_alpha 90.00
_cell_angle_beta 90.00
_cell_angle_gamma 90.00
loop_
_atom_site_label
_atom_site_type_symbol
_atom_site_fract_x
_atom_site_fract_y
_atom_site_fract_z
K1 K 0.0000 0.0000 0.0000
Ti1 Ti 0.5000 0.5000 0.0000
V1 V 0.0000 0.0000 0.5000
H1 H 0.0000 0.5000 0.5000
```

The total energy comes out at -3.48 eV per atom.

Below is crystalline BI2O2 at its relaxed geometry, with properties calculated at the PBE-GGA level.

Geometry as CIF:
```
data_BI2O2
_symmetry_space_group_name_H-M 'P 4/m m m'
_symmetry_Int_Tables_number 123
_symmetry_space_group_name_Hall '-P 4 2'
_cell_length_a 4.0675
_cell_length_b 4.0675
_cell_length_c 4.7057
_cell_angle_alpha 90.00
_cell_angle_beta 90.00
_cell_angle_gamma 90.00
loop_
_atom_site_label
_atom_site_type_symbol
_atom_site_fract_x
_atom_site_fract_y
_atom_site_fract_z
B1 B 0.0000 0.0000 0.0000
I1 I 0.0000 0.0000 0.5000
I2 I 0.5000 0.5000 0.5000
O1 O 0.0000 0.5000 0.0000
```

For the uncorrected formation energy, the calculation gives 0.993 eV per atom.

Below is crystalline YTm8Sc4 at its relaxed geometry, with properties calculated at the PBE-GGA level.

Geometry as CIF:
```
data_YTm8Sc4
_symmetry_space_group_name_H-M 'R -3 m'
_symmetry_Int_Tables_number 166
_symmetry_space_group_name_Hall '-R 3 2"'
_cell_length_a 7.0129
_cell_length_b 7.0129
_cell_length_c 26.3708
_cell_angle_alpha 90.00
_cell_angle_beta 90.00
_cell_angle_gamma 120.00
loop_
_atom_site_label
_atom_site_type_symbol
_atom_site_fract_x
_atom_site_fract_y
_atom_site_fract_z
Y1 Y 0.0000 0.0000 0.0000
Tm1 Tm 0.0000 0.0000 0.2831
Tm2 Tm 0.0326 0.5163 0.2636
Sc1 Sc 0.0000 0.0000 0.5000
Sc2 Sc 0.0000 0.5000 0.5000
```

The formation energy from the elements is 274 meV/atom.

Below is crystalline Ac2TmCd4In3 at its relaxed geometry, with properties calculated at the PBE-GGA level.

Geometry as CIF:
```
data_Ac2TmCd4In3
_symmetry_space_group_name_H-M 'P -4 m 2'
_symmetry_Int_Tables_number 115
_cell_length_a 4.7321
_cell_length_b 4.7321
_cell_length_c 12.7777
_cell_angle_alpha 90.00
_cell_angle_beta 90.00
_cell_angle_gamma 90.00
loop_
_symmetry_equiv_pos_as_xyz
'x,y,z'
'y,-x,-z'
'-x,-y,z'
'-y,x,-z'
'-x,y,z'
'-y,-x,-z'
'x,-y,z'
'y,x,-z'
loop_
_atom_site_label
_atom_site_type_symbol
_atom_site_fract_x
_atom_site_fract_y
_atom_site_fract_z
Ac1 Ac 0.0000 0.5000 0.2372
Tm1 Tm 0.0000 0.0000 0.5000
Cd1 Cd 0.0000 0.0000 0.0000
Cd2 Cd 0.0000 0.5000 0.6478
Cd3 Cd 0.5000 0.5000 0.0000
In1 In 0.0000 0.5000 0.8660
In2 In 0.5000 0.5000 0.5000
```

The formation energy from the elements is -309 meV/atom.

Number 1: magnetization 0.35 μB per cell. Number 2: magnetization 0.00 μB per cell. Number 3: magnetization 11.57 μB per cell. Number 4: magnetization 0.00 μB per cell. Number 5: magnetization 6.00 μB per cell. Number 6: magnetization 0.00 μB per cell. Number 7: magnetization 0.00 μB per cell. Number 8: magnetization 0.00 μB per cell. Number 9: magnetization 0.00 μB per cell. Number 10: magnetization 2.47 μB per cell. Number 11: magnetization 0.65 μB per cell. Number 12: magnetization 0.00 μB per cell. Number 13: magnetization 16.00 μB per cell. Number 14: magnetization 0.00 μB per cell. Number 15: magnetization 0.00 μB per cell. Number 16: magnetization 11.42 μB per cell. Number 17: magnetization 6.72 μB per cell. Number 18: magnetization 0.00 μB per cell. Number 19: magnetization 0.00 μB per cell. Number 20: magnetization 0.00 μB per cell.